VASP calculation (PBEsol) on CsZnFeTe2 after structural relaxation.

Summary:
For the electronic total energy, the calculation gives -3.36 eV/atom. For the formation energy without anion corrections, the calculation gives 0.3452 eV/atom.

a b c (Å): 4.866 5.503 5.503
angles (deg): 90.00 90.00 90.00
Each line ends with the local moment (μB).
Element x y z (fractional)
1 Cs 0.500 0.500 0.500  0.00
2 Fe 0.500 0.000 0.000  3.11
3 Zn 0.000 0.000 0.000  -0.03
4 Te 0.000 0.500 0.000  0.03
5 Te 0.000 0.000 0.500  0.03